[1]
First-principles (PBE) data for a relaxed structure of K2BaCd, as listed in the Alexandria database.

space group: Immm, No. 71

Cell lengths 8.8647, 8.8647, 6.1735 Å; angles 69.65, 69.65, 27.72 degrees
Last column: nearest neighbours and their distance in Å.
Positions (direct):
K: 0.5610 0.5610 0.4395  2 Cd 3.71
K: 0.9390 0.9390 0.0605  2 Cd 3.71
Ba: 0.7500 0.7500 0.7500  4 Cd 3.75
Cd: 0.2500 0.2500 0.2500  4 K 3.71, 4 Ba 3.75

[2]
First-principles (PBE) data for a relaxed structure of Mg2ZnPbW, as listed in the Alexandria database.

space group: P4/mmm, No. 123

Cell lengths 5.3543, 5.1341, 5.3543 Å; angles 90.00, 90.00, 90.00 degrees
Last column: nearest neighbours and their distance in Å.
Positions (direct):
W: 0.5000 0.5000 0.5000  8 Mg 3.71, 4 Zn 3.79
Mg: 0.5000 0.0000 0.0000  2 Pb 2.68
Mg: 0.0000 0.0000 0.5000  2 Pb 2.68
Zn: 0.0000 0.5000 0.0000  2 Pb 2.57
Pb: 0.0000 0.0000 0.0000  2 Zn 2.57, 4 Mg 2.68

Formation enthalpy at 0 K for every record listed, in sequence, given in eV per atom: -0.02, 1.57.